VASP calculation (meta-GGA SCAN) on a crystal of ReSiOF2 relaxed with PBEsol.

POSCAR file:
```
ReSiOF2
1.0
4.4311 0.0000 0.0000
0.0000 4.4311 0.0000
0.0000 0.0000 3.3139
Re Si O F
1 1 1 2
Direct
0.0000 0.0000 0.0000
0.5000 0.5000 0.5000
0.5000 0.5000 0.0000
0.0000 0.5000 0.5000
0.5000 0.0000 0.5000
```

Output
The formation energy (no corrections) comes out at -0.268 eV per atom. The value obtained for the energy above the lowest structure with this stoichiometry is 0.184 eV/atom.